Entry from Alexandria: an optimized crystal structure of K2ZrMo (PBE).

POSCAR file:
```
K2ZrMo
1.0
2.905 0.000 0.000
0.000 5.738 0.000
0.000 0.000 6.503
K Zr Mo
2 1 1
direct
0.000 0.245 0.000 K
0.000 0.755 0.000 K
0.500 0.500 0.500 Zr
0.500 0.000 0.500 Mo
```

Values from the calculation:
Energy relative to the elements ... 1344 meV/atom
Excess energy over the best structure of this formula in the dataset ... 645 meV per atom
Total moment ... 0.324 μB/atom
SG ... No. 47